No. 1
VASP calculation (GGA-PBE) on crystalline Ca2HfCdN at its relaxed geometry.

Properties
- Formation energy from raw total energies: 0.27 eV/atom
- Space-group type: No. 123

Cell: 4.707 4.707 5.164 Å, 90.00 90.00 90.00°
Atoms (fractional coordinates):
Ca1 0.000 0.500 0.000
Ca2 0.500 0.000 0.000
Hf1 0.000 0.000 0.500
Cd1 0.500 0.500 0.500
N1 0.500 0.500 0.000



No. 2
VASP calculation (GGA-PBE) on crystalline Ac2TmAs4Ir3 at its relaxed geometry.

Properties
- ΔH_f (0 K): -85 kJ/mol of atoms
- Space-group type: No. 115

Cell: 4.446 4.446 10.834 Å, 90.00 90.00 90.00°
Atoms (fractional coordinates):
Ac1 0.000 0.500 0.228
Ac2 0.500 0.000 0.772
Tm1 0.000 0.000 0.500
As1 0.000 0.000 0.000
As2 0.000 0.500 0.655
As3 0.500 0.000 0.345
As4 0.500 0.500 0.000
Ir1 0.000 0.500 0.893
Ir2 0.500 0.000 0.107
Ir3 0.500 0.500 0.500



No. 3
VASP calculation (GGA-PBE) on crystalline MnAlTl2 at its relaxed geometry.

Properties
- ΔH_f (0 K): 46 kJ/mol of atoms
- Space-group type: No. 10

Cell: 3.183 5.107 5.590 Å, 90.00 91.42 90.00°
Atoms (fractional coordinates):
Mn1 0.000 0.000 0.000
Al1 0.500 0.000 0.500
Tl1 0.259 0.500 0.753
Tl2 0.741 0.500 0.247



No. 4
VASP calculation (GGA-PBE) on crystalline Pm2Sm4Mg at its relaxed geometry.

Properties
- ΔH_f (0 K): 51 kJ/mol of atoms
- Space-group type: No. 111

Cell: 4.723 4.723 11.491 Å, 90.00 90.00 90.00°
Atoms (fractional coordinates):
Pm1 0.000 0.500 0.000
Pm2 0.500 0.000 0.000
Sm1 0.243 0.243 0.736
Sm2 0.243 0.757 0.264
Sm3 0.757 0.243 0.264
Sm4 0.757 0.757 0.736
Mg1 0.500 0.500 0.500



No. 5
VASP calculation (GGA-PBE) on crystalline Li3Ac2Pd12Pb at its relaxed geometry.

Properties
- ΔH_f (0 K): -30 kJ/mol of atoms
- Space-group type: No. 166

Cell: 10.345 10.345 10.345 Å, 36.85 36.85 36.85°
Atoms (fractional coordinates):
Li1 0.000 0.500 0.500
Li2 0.500 0.000 0.500
Li3 0.500 0.500 0.000
Ac1 0.132 0.132 0.132
Ac2 0.868 0.868 0.868
Pd1 0.062 0.630 0.630
Pd2 0.096 0.096 0.681
Pd3 0.096 0.681 0.096
Pd4 0.319 0.904 0.904
Pd5 0.370 0.370 0.938
Pd6 0.370 0.938 0.370
Pd7 0.630 0.062 0.630
Pd8 0.630 0.630 0.062
Pd9 0.681 0.096 0.096
Pd10 0.904 0.319 0.904
Pd11 0.904 0.904 0.319
Pd12 0.938 0.370 0.370
Pb1 0.500 0.500 0.500



No. 6
VASP calculation (GGA-PBE) on crystalline SmAs2Au at its relaxed geometry.

Properties
- ΔH_f (0 K): -60 kJ/mol of atoms
- Space-group type: No. 123

Cell: 4.578 4.578 4.006 Å, 90.00 90.00 90.00°
Atoms (fractional coordinates):
Sm1 0.000 0.000 0.000
As1 0.000 0.500 0.500
As2 0.500 0.000 0.500
Au1 0.500 0.500 0.000



No. 7
VASP calculation (GGA-PBE) on crystalline Pm3ZnB2Rh9 at its relaxed geometry.

Properties
- ΔH_f (0 K): -52 kJ/mol of atoms
- Space-group type: No. 164

Cell: 6.086 6.086 7.771 Å, 90.00 90.00 120.00°
Atoms (fractional coordinates):
Pm1 0.000 0.000 0.000
Pm2 0.333 0.667 0.655
Pm3 0.667 0.333 0.345
Zn1 0.000 0.000 0.500
B1 0.333 0.667 0.148
B2 0.667 0.333 0.852
Rh1 0.000 0.500 0.000
Rh2 0.176 0.352 0.303
Rh3 0.176 0.824 0.303
Rh4 0.352 0.176 0.697
Rh5 0.500 0.000 0.000
Rh6 0.500 0.500 0.000
Rh7 0.648 0.824 0.303
Rh8 0.824 0.176 0.697
Rh9 0.824 0.648 0.697



No. 8
VASP calculation (GGA-PBE) on crystalline Pr6Sb3As2S at its relaxed geometry.

Properties
- Formation energy from raw total energies: -1.42 eV/atom
- Space-group type: No. 12

Cell: 9.857 9.857 8.832 Å, 103.29 103.29 25.77°
Atoms (fractional coordinates):
Pr1 0.003 0.003 0.241
Pr2 0.330 0.330 0.426
Pr3 0.337 0.337 0.908
Pr4 0.663 0.663 0.092
Pr5 0.670 0.670 0.574
Pr6 0.997 0.997 0.759
Sb1 0.167 0.167 0.834
Sb2 0.500 0.500 0.500
Sb3 0.833 0.833 0.166
As1 0.166 0.166 0.332
As2 0.834 0.834 0.668
S1 0.500 0.500 0.000



Number 1: V 22.89 Å³/atom, magnetic moment 0.00 μB per formula unit. Number 2: V 21.42 Å³/atom, magnetic moment 0.00 μB per formula unit. Number 3: V 22.71 Å³/atom, magnetic moment 3.88 μB per formula unit. Number 4: V 36.63 Å³/atom, magnetic moment 0.00 μB per formula unit. Number 5: V 19.82 Å³/atom, magnetic moment 0.00 μB per formula unit. Number 6: V 20.99 Å³/atom, magnetic moment 0.00 μB per formula unit. Number 7: V 16.62 Å³/atom, magnetic moment 0.00 μB per formula unit. Number 8: V 30.21 Å³/atom, magnetic moment 0.00 μB per formula unit.